Material: Ac2Nd6Sm
Method: DFT, GGA-PBE
State: optimized geometry

## Properties
**Energy of formation from the pure elements**: 0.105 eV per atom
**Total magnetization**: 0.0 μB/f.u.

abc: 3.8008 10.4123 10.4123
angles: 125.27 85.62 85.62
Closest atoms and distances in Å follow each position.
Fractional coordinates of all 9 atoms:
Ac: 0.5000 0.8325 0.1675  6 Nd 3.62-3.74, 2 Sm 3.63, 2 Ac 3.80
Ac: 0.5000 0.1675 0.8325  6 Nd 3.62-3.74, 2 Sm 3.63, 2 Ac 3.80
Nd: 0.8442 0.5022 0.1733  7 Nd 3.50-3.80, 3 Ac 3.62-3.74
Nd: 0.1558 0.4978 0.8267  7 Nd 3.50-3.80, 3 Ac 3.62-3.74
Nd: 0.6544 0.6690 0.6690  8 Nd 3.58-3.81, 2 Sm 3.63-3.69
Nd: 0.8442 0.1733 0.5022  7 Nd 3.50-3.80, 3 Ac 3.62-3.74
Nd: 0.1558 0.8267 0.4978  7 Nd 3.50-3.80, 3 Ac 3.62-3.74
Nd: 0.3456 0.3310 0.3310  8 Nd 3.58-3.81, 2 Sm 3.63-3.69
Sm: 0.0000 0.0000 0.0000  4 Nd 3.63-3.69, 4 Ac 3.63, 2 Sm 3.80


Material: AcNdSm6
Method: DFT, GGA-PBE
State: optimized geometry

## Properties
**Energy of formation from the pure elements**: 0.027 eV per atom
**Total magnetization**: 0.0 μB/f.u.

abc: 5.1995 5.1995 10.4034
angles: 90.00 90.00 90.00
Closest atoms and distances in Å follow each position.
Fractional coordinates of all 8 atoms:
Ac: 0.0000 0.0000 0.0000  12 Sm 3.68-3.72
Nd: 0.0000 0.0000 0.5000  12 Sm 3.64-3.68
Sm: 0.5000 0.5000 0.0000  4 Ac 3.68, 8 Sm 3.72
Sm: 0.5000 0.5000 0.5000  8 Sm 3.64, 4 Nd 3.68
Sm: 0.5000 0.0000 0.2557  2 Nd 3.64, 8 Sm 3.64-3.72, 2 Ac 3.72
Sm: 0.5000 0.0000 0.7443  2 Nd 3.64, 8 Sm 3.64-3.72, 2 Ac 3.72
Sm: 0.0000 0.5000 0.2557  2 Nd 3.64, 8 Sm 3.64-3.72, 2 Ac 3.72
Sm: 0.0000 0.5000 0.7443  2 Nd 3.64, 8 Sm 3.64-3.72, 2 Ac 3.72